Entry from the Alexandria database: a relaxed structure of SrZnSe2O6 (PBE).

Calculated values
Magnetic moment (μB/f.u.): 0.00
Energy above the lowest structure with this stoichiometry (meV/atom): 172
Density (kg/m3): 4029

Cell: 6.3955 6.6732 7.8604 Å, 90.00 90.00 90.00°
Positions (direct):
O 0.3490 0.9130 0.0000
Zn 0.8552 0.1284 0.5000
Sr 0.7228 0.0327 0.0000
O 0.0241 0.3503 0.1803
O 0.6697 0.2063 0.2984
O 0.3303 0.7063 0.7016
O 0.6697 0.2063 0.7016
Sr 0.2772 0.5327 0.0000
Se 0.2139 0.9337 0.7597
O 0.6510 0.4130 0.0000
O 0.3303 0.7063 0.2984
Zn 0.1448 0.6284 0.5000
Se 0.7861 0.4337 0.2403
O 0.0241 0.3503 0.8197
Se 0.2139 0.9337 0.2403
O 0.0869 0.9452 0.5000
O 0.9759 0.8503 0.8197
O 0.9131 0.4452 0.5000
Se 0.7861 0.4337 0.7597
O 0.9759 0.8503 0.1803

---

Entry from the Alexandria database: a relaxed structure of SrZnSe2O6 (PBE).

Calculated values
Magnetic moment (μB/f.u.): 0.00
Energy above the lowest structure with this stoichiometry (meV/atom): 212
Density (kg/m3): 4575

Cell: 5.4617 5.4617 6.5293 Å, 65.28 65.28 60.00°
Positions (direct):
Se 0.2746 0.2746 0.1761
O 0.7328 0.0733 0.7138
O 0.9267 0.5199 0.2862
O 0.4801 0.7328 0.7138
O 0.0733 0.4801 0.7138
O 0.5199 0.2672 0.2862
Zn 0.5000 0.5000 0.5000
Sr 0.0000 0.0000 0.0000
Se 0.7254 0.7254 0.8239
O 0.2672 0.9267 0.2862

---

Entry from the Alexandria database: a relaxed structure of SrZn2SeO6 (PBE).

Calculated values
Magnetic moment (μB/f.u.): 0.00
E (eV for the cell shown): -102.90
Density (kg/m3): 4038

Cell: 6.5034 7.7406 7.7406 Å, 86.30 66.12 66.12°
Positions (direct):
O 0.6492 0.8015 0.0334
O 0.0022 0.4027 0.8213
Se 0.2500 0.2029 0.7971
O 0.4422 0.3918 0.2305
O 0.4978 0.1787 0.5973
O 0.5578 0.6082 0.7695
O 0.0578 0.7695 0.6082
Zn 0.8138 0.6817 0.7382
O 0.5022 0.8213 0.4027
Zn 0.1862 0.3183 0.2618
O 0.1492 0.0334 0.8015
Zn 0.3138 0.7382 0.6817
Sr 0.7500 0.2540 0.7460
Zn 0.6862 0.2618 0.3183
Se 0.7500 0.7971 0.2029
Sr 0.2500 0.7460 0.2540
O 0.9422 0.2305 0.3918
O 0.9978 0.5973 0.1787
O 0.3508 0.1985 0.9666
O 0.8508 0.9666 0.1985

---

Entry from the Alexandria database: a relaxed structure of SrZnSe4O12 (PBE).

Calculated values
Magnetic moment (μB/f.u.): 0.00
E (eV for the cell shown): -89.47
Density (kg/m3): 4302

Cell: 6.0193 6.0193 7.3717 Å, 90.00 90.00 107.26°
Positions (direct):
O 0.2924 0.1963 0.3029
O 0.2876 0.7124 0.7559
Zn 0.9848 0.0152 0.0000
O 0.9378 0.6532 0.0000
O 0.7898 0.2102 0.1906
O 0.8037 0.7076 0.3029
O 0.7898 0.2102 0.8094
Se 0.4606 0.0321 0.7499
O 0.2924 0.1963 0.6971
Se 0.9679 0.5394 0.2501
O 0.2876 0.7124 0.2441
Sr 0.4607 0.5393 0.5000
Se 0.4606 0.0321 0.2501
O 0.5538 0.9919 0.5000
O 0.8037 0.7076 0.6971
O 0.3468 0.0622 0.0000
O 0.0081 0.4462 0.5000
Se 0.9679 0.5394 0.7499

---

Entry from the Alexandria database: a relaxed structure of SrZnSe2O6 (PBE).

Calculated values
Magnetic moment (μB/f.u.): 0.00
Energy above the lowest structure with this stoichiometry (meV/atom): 0
Density (kg/m3): 4063

Cell: 15.3732 4.5819 10.1420 Å, 68.63 90.00 90.00°
Positions (direct):
Se 0.6968 0.3620 0.4424
O 0.6931 0.2740 0.9249
O 0.0365 0.8311 0.3915
O 0.4635 0.8311 0.8915
Sr 0.8826 0.7148 0.5456
Se 0.0045 0.9818 0.7770
O 0.8200 0.6470 0.7830
O 0.6140 0.9076 0.7505
O 0.0198 0.6065 0.7774
Se 0.1968 0.6380 0.0576
O 0.6800 0.6470 0.2830
Zn 0.1480 0.5019 0.7724
O 0.8860 0.9076 0.2505
O 0.1800 0.3530 0.2170
O 0.1931 0.7260 0.5751
O 0.2145 0.4247 0.9470
O 0.3200 0.3530 0.7170
Se 0.5045 0.0182 0.7230
Sr 0.1174 0.2852 0.4544
Se 0.8032 0.3620 0.9424
Se 0.3032 0.6380 0.5576
O 0.7145 0.5753 0.5530
O 0.3069 0.7260 0.0751
O 0.5198 0.3935 0.7226
O 0.7855 0.5753 0.0530
Sr 0.3826 0.2852 0.9544
Zn 0.8520 0.4981 0.2276
O 0.1140 0.0924 0.7495
O 0.2855 0.4247 0.4470
Sr 0.6174 0.7148 0.0456
O 0.9635 0.1689 0.6085
Zn 0.3520 0.5019 0.2724
Se 0.9955 0.0182 0.2230
O 0.5365 0.1689 0.1085
Se 0.4955 0.9818 0.2770
O 0.8069 0.2740 0.4249
Zn 0.6480 0.4981 0.7276
O 0.3860 0.0924 0.2495
O 0.4802 0.6065 0.2774
O 0.9802 0.3935 0.2226

---

Entry from the Alexandria database: a relaxed structure of SrZrSeO5 (PBE).

Calculated values
Magnetic moment (μB/f.u.): 0.00
E (eV for the cell shown): -112.53
Density (kg/m3): 4525

Cell: 5.9255 5.9255 8.2974 Å, 108.97 108.97 99.73°
Positions (direct):
O 0.6094 0.7604 0.8826
O 0.9676 0.0324 0.7500
O 0.8791 0.3225 0.0713
O 0.0324 0.9676 0.2500
O 0.6775 0.1209 0.4287
O 0.1209 0.6775 0.9287
Sr 0.6858 0.3142 0.7500
O 0.2396 0.3906 0.6174
O 0.3906 0.2396 0.1174
Zr 0.0000 0.0000 0.0000
Se 0.2924 0.7076 0.7500
Sr 0.3142 0.6858 0.2500
Zr 0.0000 0.0000 0.5000
O 0.7604 0.6094 0.3826
O 0.3225 0.8791 0.5713
Se 0.7076 0.2924 0.2500

---

Entry from the Alexandria database: a relaxed structure of Sr2ZrSe2O2 (PBE).

Calculated values
Magnetic moment (μB/f.u.): 0.00
E (eV for the cell shown): -46.33
Density (kg/m3): 5129

Cell: 4.2825 4.2825 8.6066 Å, 104.41 104.41 90.00°
Positions (direct):
O 0.5000 0.0000 0.0000
Sr 0.3725 0.3725 0.7451
Se 0.1695 0.1695 0.3390
Sr 0.6275 0.6275 0.2549
Zr 0.0000 0.0000 0.0000
Se 0.8305 0.8305 0.6610
O 0.0000 0.5000 0.0000

---

Entry from the Alexandria database: a relaxed structure of Ta2SeO (PBE).

Calculated values
Magnetic moment (μB/f.u.): 0.00
Energy above the lowest structure with this stoichiometry (meV/atom): 0
Density (kg/m3): 10606

Cell: 4.6893 4.6893 7.3020 Å, 71.27 71.27 90.00°
Positions (direct):
Se 0.7500 0.2500 0.5000
Se 0.0000 0.0000 0.0000
Ta 0.3750 0.4698 0.7500
Ta 0.2198 0.6250 0.2500
Ta 0.8750 0.7802 0.7500
O 0.5000 0.5000 0.0000
O 0.2500 0.7500 0.5000
Ta 0.5302 0.1250 0.2500

---

Entry from the Alexandria database: a relaxed structure of TaSe2O6 (PBE).

Calculated values
Magnetic moment (μB/f.u.): 0.00
E (eV for the cell shown): -60.19
Density (kg/m3): 5180

Cell: 5.0417 5.0417 6.9691 Å, 68.79 68.79 60.00°
Positions (direct):
Se 0.4402 0.4402 0.6793
O 0.0696 0.4367 0.8064
O 0.3121 0.9404 0.1924
O 0.4367 0.6872 0.8064
Ta 0.6669 0.6669 0.9992
O 0.5551 0.3121 0.1924
O 0.9404 0.5551 0.1924
Se 0.2260 0.2260 0.3219
O 0.6872 0.0696 0.8064

---

Entry from the Alexandria database: a relaxed structure of TaSe2O (PBE).

Calculated values
Magnetic moment (μB/f.u.): 0.00
E (eV for the cell shown): -46.54
Density (kg/m3): 6891

Cell: 5.7231 5.7231 6.6064 Å, 64.33 64.33 90.00°
Positions (direct):
Se 0.6085 0.1250 0.2500
O 0.2500 0.7500 0.5000
Ta 0.0000 0.0000 0.0000
O 0.5000 0.5000 0.0000
Se 0.8750 0.8585 0.7500
Se 0.3750 0.3915 0.7500
Ta 0.7500 0.2500 0.5000
Se 0.1415 0.6250 0.2500

---

Entry from the Alexandria database: a relaxed structure of TaSe2O (PBE).

Calculated values
Magnetic moment (μB/f.u.): 0.00
E (eV for the cell shown): -25.22
Density (kg/m3): 7705

Cell: 7.4373 7.4373 7.4373 Å, 27.32 27.32 27.32°
Positions (direct):
Se 0.0899 0.0899 0.0899
O 0.0000 0.0000 0.0000
Ta 0.5000 0.5000 0.5000
Se 0.9101 0.9101 0.9101

---

Entry from the Alexandria database: a relaxed structure of TaSe3O (PBE).

Calculated values
Magnetic moment (μB/f.u.): 0.00
Energy above the lowest structure with this stoichiometry (meV/atom): 0
Density (kg/m3): 5882

Cell: 4.9662 4.9662 4.9662 Å, 90.00 90.00 90.00°
Positions (direct):
O 0.5000 0.5000 0.5000
Se 0.0000 0.0000 0.5000
Se 0.0000 0.5000 0.0000
Ta 0.0000 0.0000 0.0000
Se 0.5000 0.0000 0.0000

---

Entry from the Alexandria database: a relaxed structure of Ta2SeO (PBE).

Calculated values
Magnetic moment (μB/f.u.): 0.00
Energy above the lowest structure with this stoichiometry (meV/atom): 317
Density (kg/m3): 13174

Cell: 4.3346 4.3346 4.3346 Å, 60.00 60.00 60.00°
Positions (direct):
Se 0.5000 0.5000 0.5000
O 0.0000 0.0000 0.0000
Ta 0.7500 0.7500 0.7500
Ta 0.2500 0.2500 0.2500

---

Entry from the Alexandria database: a relaxed structure of TaSeO5 (PBE).

Calculated values
Magnetic moment (μB/f.u.): 0.00
E (eV for the cell shown): -103.59
Density (kg/m3): 5000

Cell: 6.8235 5.4038 8.5645 Å, 119.13 124.81 77.26°
Positions (direct):
Ta 0.9646 0.0215 0.9964
O 0.7536 0.7427 0.9374
O 0.9414 0.7788 0.7312
Se 0.5798 0.4240 0.7286
O 0.2765 0.8128 0.1309
O 0.8750 0.1688 0.5196
Ta 0.9636 0.4369 0.5086
O 0.6414 0.5170 0.2801
O 0.3734 0.7353 0.4657
O 0.1979 0.2874 0.0540
O 0.0252 0.2428 0.2795
Se 0.3711 0.5984 0.2473
O 0.3243 0.5084 0.7293
O 0.6994 0.2427 0.8826

---

Entry from the Alexandria database: a relaxed structure of Ta3Se4O2 (PBE).

Calculated values
Magnetic moment (μB/f.u.): 0.50
E (eV for the cell shown): -69.52
Density (kg/m3): 8026

Cell: 3.2558 3.2558 20.0725 Å, 90.00 90.00 120.00°
Positions (direct):
O 0.6667 0.3333 0.9214
Ta 0.0000 0.0000 0.3129
Ta 0.0000 0.0000 0.9788
Se 0.0000 0.0000 0.5796
Se 0.0000 0.0000 0.7554
O 0.6667 0.3333 0.0360
Se 0.6667 0.3333 0.4007
Ta 0.6667 0.3333 0.6675
Se 0.6667 0.3333 0.2249

---

Entry from the Alexandria database: a relaxed structure of TaSe3O9 (PBE).

Calculated values
Magnetic moment (μB/f.u.): 0.98
E (eV for the cell shown): -163.81
Density (kg/m3): 4113

Cell: 6.9846 9.3534 8.3948 Å, 71.27 65.42 68.08°
Positions (direct):
O 0.2055 0.9650 0.6297
Ta 0.9911 0.5142 0.9912
O 0.4299 0.4550 0.3249
O 0.7993 0.5710 0.8517
Ta 0.5035 0.0142 0.4912
O 0.7667 0.6514 0.1539
Se 0.4870 0.7363 0.2827
O 0.1998 0.4650 0.1297
Se 0.9972 0.1201 0.1649
O 0.6333 0.8267 0.6467
O 0.4281 0.1514 0.6539
O 0.3303 0.1928 0.3401
O 0.7780 0.0710 0.3517
Se 0.4940 0.2363 0.7827
O 0.6703 0.3323 0.6387
O 0.9473 0.1049 0.9918
O 0.3587 0.8323 0.1387
O 0.7901 0.9550 0.8249
Se 0.7178 0.6201 0.6649
O 0.2334 0.3905 0.8233
O 0.5528 0.8905 0.3233
O 0.9560 0.6049 0.4918
O 0.1368 0.6928 0.8401
Se 0.0364 0.8972 0.8384
Se 0.2280 0.3972 0.3384
O 0.8933 0.3267 0.1467

---

Entry from the Alexandria database: a relaxed structure of TaSe3O (PBE).

Calculated values
Magnetic moment (μB/f.u.): 0.00
Energy above the lowest structure with this stoichiometry (meV/atom): 75
Density (kg/m3): 8431

Cell: 4.4045 4.4045 4.4045 Å, 90.00 90.00 90.00°
Positions (direct):
Ta 0.5000 0.5000 0.5000
Se 0.5000 0.0000 0.0000
Se 0.0000 0.0000 0.5000
O 0.0000 0.0000 0.0000
Se 0.0000 0.5000 0.0000

---

Entry from the Alexandria database: a relaxed structure of TaSeO (PBE).

Calculated values
Magnetic moment (μB/f.u.): 0.00
E (eV for the cell shown): -101.15
Density (kg/m3): 7265

Cell: 6.5083 5.5748 7.1628 Å, 103.92 90.00 90.00°
Positions (direct):
O 0.3698 0.8755 0.8833
Se 0.6007 0.3205 0.7247
Ta 0.6255 0.7208 0.9874
Ta 0.3745 0.2792 0.0126
Ta 0.1255 0.7792 0.0126
O 0.6302 0.1245 0.1167
Se 0.3993 0.6795 0.2753
Se 0.1007 0.1795 0.2753
Se 0.8993 0.8205 0.7247
O 0.1302 0.3755 0.8833
Ta 0.8745 0.2208 0.9874
O 0.8698 0.6245 0.1167

---

Entry from the Alexandria database: a relaxed structure of TaSe2O (PBE).

Calculated values
Magnetic moment (μB/f.u.): 0.00
E (eV for the cell shown): -114.88
Density (kg/m3): 6736

Cell: 5.2304 6.4095 10.4487 Å, 87.43 90.00 90.00°
Positions (direct):
Ta 0.5098 0.2779 0.8754
Ta 0.4902 0.7221 0.1246
Se 0.3067 0.5728 0.5501
Ta 0.0098 0.2221 0.6246
O 0.7248 0.8198 0.2513
Ta 0.9902 0.7779 0.3754
O 0.2248 0.6802 0.2487
O 0.7752 0.3198 0.7513
Se 0.3366 0.6354 0.8873
Se 0.6933 0.4272 0.4499
Se 0.1634 0.1354 0.3873
Se 0.8067 0.9272 0.9499
O 0.2752 0.1802 0.7487
Se 0.1933 0.0728 0.0501
Se 0.6634 0.3646 0.1127
Se 0.8366 0.8646 0.6127

---

Entry from the Alexandria database: a relaxed structure of Tb3Se2O2 (PBE).

Calculated values
Magnetic moment (μB/f.u.): 0.00
Energy above the lowest structure with this stoichiometry (meV/atom): 228
Density (kg/m3): 7689

Cell: 3.6021 6.0410 7.0068 Å, 98.16 90.02 107.26°
Positions (direct):
Tb 0.0000 0.0000 0.0000
Tb 0.7693 0.5391 0.2268
O 0.3636 0.7271 0.0636
O 0.6364 0.2729 0.9364
Se 0.1160 0.2306 0.3749
Tb 0.2307 0.4609 0.7732
Se 0.8840 0.7694 0.6251